Arrangement i

Below is an optimized crystal structure of ReGe3Cl, with properties calculated at the PBE level. Values from VASP.

Cell and atoms, written as Quantum ESPRESSO input:
```
&SYSTEM
  ibrav = 0, nat = 5, ntyp = 3
/
ATOMIC_SPECIES
Ge 72.64 Ge.upf
Re 186.21 Re.upf
Cl 35.45 Cl.upf
CELL_PARAMETERS angstrom
4.780 0.000 0.000
0.000 4.780 0.000
0.000 0.000 4.780
ATOMIC_POSITIONS angstrom
Ge 0.000 0.000 2.390
Ge 2.390 0.000 0.000
Re 2.390 2.390 2.390
Cl 0.000 0.000 0.000
Ge 0.000 2.390 0.000
```

***

Arrangement ii

Below is an optimized crystal structure of ReGe3Cl, with properties calculated at the PBE level. Values from VASP.

Cell and atoms, written as Quantum ESPRESSO input:
```
&SYSTEM
  ibrav = 0, nat = 5, ntyp = 3
/
ATOMIC_SPECIES
Ge 72.64 Ge.upf
Re 186.21 Re.upf
Cl 35.45 Cl.upf
CELL_PARAMETERS angstrom
4.840 0.000 0.000
0.000 4.840 0.000
0.000 0.000 4.840
ATOMIC_POSITIONS angstrom
Ge 2.420 0.000 0.000
Re 0.000 0.000 0.000
Ge 0.000 2.420 0.000
Cl 2.420 2.420 2.420
Ge 0.000 0.000 2.420
```

***

What should be chosen as the least stable of them? Choose arrangement i.

***

Arrangement i

Below is an optimized crystal structure of ReGeS2Cl, with properties calculated at the PBE level. Values from VASP.

Cell and atoms, written as Quantum ESPRESSO input:
```
&SYSTEM
  ibrav = 0, nat = 5, ntyp = 4
/
ATOMIC_SPECIES
Re 186.21 Re.upf
Cl 35.45 Cl.upf
S 32.06 S.upf
Ge 72.64 Ge.upf
CELL_PARAMETERS angstrom
-1.923 -4.371 -0.449
4.345 -1.818 -0.909
0.650 -0.761 4.625
ATOMIC_POSITIONS angstrom
Re 1.535 -3.475 1.633
Cl 0.325 -0.380 2.312
S 2.172 -0.909 -0.455
S -0.962 -2.186 -0.224
Ge 0.000 0.000 0.000
```

***

Arrangement ii

Below is an optimized crystal structure of ReGeS2Cl, with properties calculated at the PBE level. Values from VASP.

Cell and atoms, written as Quantum ESPRESSO input:
```
&SYSTEM
  ibrav = 0, nat = 5, ntyp = 4
/
ATOMIC_SPECIES
Re 186.21 Re.upf
S 32.06 S.upf
Ge 72.64 Ge.upf
Cl 35.45 Cl.upf
CELL_PARAMETERS angstrom
4.587 0.000 0.000
0.000 4.587 0.000
0.000 0.000 5.017
ATOMIC_POSITIONS angstrom
Re 0.000 0.000 0.000
S 0.000 2.294 0.000
Ge 2.294 2.294 2.509
Cl 0.000 0.000 2.509
S 2.294 0.000 0.000
```

***

What should be chosen as the least stable of them? Choose arrangement i.